[1]
Np2Ga8Os: optimized geometry, PBE.

Cell lengths 4.352, 4.352, 10.962 Å; angles 90.00, 90.00, 90.00 degrees
Fractional positions:
Np  0.000  0.000  0.307
Np  0.000  0.000  0.693
Os  0.000  0.000  0.000
Ga  0.000  0.500  0.500
Ga  0.500  0.000  0.500
Ga  0.500  0.500  0.308
Ga  0.500  0.500  0.692
Ga  0.000  0.500  0.123
Ga  0.500  0.000  0.123
Ga  0.000  0.500  0.877
Ga  0.500  0.000  0.877

Properties
- density of states at the Fermi level (states/eV per cell) = 16.6
- magnetic moment (μB/atom) = 0.69
- calculated volume (Å³/f.u.) = 208
- formation energy from the elements (eV/atom) = -0.2246

***

[2]
NpGaOs: optimized geometry, PBE.

Cell lengths 3.567, 5.887, 5.680 Å; angles 95.28, 108.30, 90.00 degrees
Fractional positions:
Np  0.836  0.717  0.672
Np  0.164  0.283  0.328
Ga  0.881  0.226  0.762
Ga  0.119  0.774  0.238
Os  0.500  0.500  0.000
Os  0.500  0.000  0.000

Properties
- density of states at the Fermi level (states/eV per cell) = 10.6
- magnetic moment (μB/atom) = 0.99
- calculated volume (Å³/f.u.) = 56
- formation energy from the elements (eV/atom) = -0.0155

***

[3]
NpGa3Os: optimized geometry, PBE.

Cell lengths 4.754, 4.754, 4.754 Å; angles 85.69, 85.69, 85.69 degrees
Fractional positions:
Np  0.952  0.952  0.952
Ga  0.896  0.440  0.440
Ga  0.440  0.896  0.440
Ga  0.440  0.440  0.896
Os  0.397  0.397  0.397

Properties
- density of states at the Fermi level (states/eV per cell) = 10.0
- magnetic moment (μB/atom) = 1.06
- calculated volume (Å³/f.u.) = 107
- formation energy from the elements (eV/atom) = 0.1141

***

[4]
NpGaOs: optimized geometry, PBE.

Cell lengths 4.025, 6.960, 11.993 Å; angles 88.53, 90.00, 90.00 degrees
Fractional positions:
Np  0.750  0.530  0.370
Np  0.250  0.963  0.709
Np  0.750  0.037  0.291
Np  0.750  0.664  0.083
Np  0.250  0.470  0.630
Np  0.250  0.336  0.917
Ga  0.250  0.000  0.086
Ga  0.250  0.852  0.458
Ga  0.750  0.628  0.800
Ga  0.750  0.148  0.542
Ga  0.250  0.372  0.200
Ga  0.750  0.000  0.914
Os  0.250  0.754  0.919
Os  0.750  0.255  0.750
Os  0.750  0.753  0.586
Os  0.750  0.246  0.081
Os  0.250  0.247  0.414
Os  0.250  0.745  0.250

Properties
- density of states at the Fermi level (states/eV per cell) = 39.4
- magnetic moment (μB/atom) = 1.10
- calculated volume (Å³/f.u.) = 56
- formation energy from the elements (eV/atom) = -0.1184

***

[5]
NpGaOs: optimized geometry, PBE.

Cell lengths 3.109, 3.109, 6.022 Å; angles 104.96, 104.96, 90.00 degrees
Fractional positions:
Np  0.012  0.012  0.025
Os  0.679  0.679  0.358
Ga  0.309  0.309  0.617

Properties
- density of states at the Fermi level (states/eV per cell) = 6.1
- magnetic moment (μB/atom) = 1.10
- calculated volume (Å³/f.u.) = 54
- formation energy from the elements (eV/atom) = 0.0091

***

[6]
NpGaOs2: optimized geometry, PBE.

Cell lengths 3.130, 3.130, 6.718 Å; angles 90.00, 90.00, 90.00 degrees
Fractional positions:
Np  0.500  0.500  0.500
Os  0.000  0.000  0.775
Os  0.000  0.000  0.225
Ga  0.500  0.500  0.000

Properties
- density of states at the Fermi level (states/eV per cell) = 3.6
- magnetic moment (μB/atom) = 0.46
- calculated volume (Å³/f.u.) = 66
- formation energy from the elements (eV/atom) = 0.1300

***

[7]
Np2Ga3Os: optimized geometry, PBE.

Cell lengths 5.494, 5.494, 5.255 Å; angles 90.03, 121.51, 119.97 degrees
Fractional positions:
Np  0.774  0.387  0.161
Np  0.226  0.613  0.839
Ga  0.500  0.500  0.500
Ga  0.000  0.000  0.500
Ga  0.500  0.000  0.500
Os  0.000  0.000  0.000

Properties
- density of states at the Fermi level (states/eV per cell) = 9.6
- magnetic moment (μB/atom) = 1.24
- calculated volume (Å³/f.u.) = 110
- formation energy from the elements (eV/atom) = -0.1343

***

[8]
NpGaOs2: optimized geometry, PBE.

Cell lengths 3.702, 4.240, 4.240 Å; angles 90.00, 90.00, 90.00 degrees
Fractional positions:
Np  0.500  0.000  0.000
Os  0.000  0.000  0.500
Os  0.000  0.500  0.000
Ga  0.500  0.500  0.500

Properties
- density of states at the Fermi level (states/eV per cell) = 6.6
- magnetic moment (μB/atom) = 0.52
- calculated volume (Å³/f.u.) = 67
- formation energy from the elements (eV/atom) = 0.0413

***

[9]
NpPaGaOs: optimized geometry, PBE.

Cell lengths 4.774, 4.774, 4.774 Å; angles 60.00, 60.00, 60.00 degrees
Fractional positions:
Np  0.000  0.000  0.000
Pa  0.750  0.750  0.750
Os  0.500  0.500  0.500
Ga  0.250  0.250  0.250

Properties
- density of states at the Fermi level (states/eV per cell) = 4.6
- magnetic moment (μB/atom) = 1.25
- calculated volume (Å³/f.u.) = 77
- formation energy from the elements (eV/atom) = -0.0577

***

[10]
PuNpGaOs: optimized geometry, PBE.

Cell lengths 4.731, 4.731, 4.731 Å; angles 60.00, 60.00, 60.00 degrees
Fractional positions:
Np  0.500  0.500  0.500
Os  0.250  0.250  0.250
Ga  0.000  0.000  0.000
Pu  0.750  0.750  0.750

Properties
- density of states at the Fermi level (states/eV per cell) = 7.6
- magnetic moment (μB/atom) = 2.05
- calculated volume (Å³/f.u.) = 75
- formation energy from the elements (eV/atom) = -0.0701

***

[11]
NpScGaOs: optimized geometry, PBE.

Cell lengths 4.672, 4.672, 4.672 Å; angles 60.00, 60.00, 60.00 degrees
Fractional positions:
Np  0.750  0.750  0.750
Sc  0.500  0.500  0.500
Os  0.000  0.000  0.000
Ga  0.250  0.250  0.250

Properties
- density of states at the Fermi level (states/eV per cell) = 9.2
- magnetic moment (μB/atom) = 0.82
- calculated volume (Å³/f.u.) = 72
- formation energy from the elements (eV/atom) = -0.1002

***

[12]
NpTaGaOs: optimized geometry, PBE.

Cell lengths 4.665, 4.665, 4.665 Å; angles 60.00, 60.00, 60.00 degrees
Fractional positions:
Np  0.500  0.500  0.500
Os  0.000  0.000  0.000
Ga  0.250  0.250  0.250
Ta  0.750  0.750  0.750

Properties
- density of states at the Fermi level (states/eV per cell) = 9.3
- magnetic moment (μB/atom) = 1.05
- calculated volume (Å³/f.u.) = 72
- formation energy from the elements (eV/atom) = 0.3139

***

[13]
NpGaTcOs: optimized geometry, PBE.

Cell lengths 4.561, 4.561, 4.561 Å; angles 60.00, 60.00, 60.00 degrees
Fractional positions:
Np  0.750  0.750  0.750
Os  0.000  0.000  0.000
Tc  0.500  0.500  0.500
Ga  0.250  0.250  0.250

Properties
- density of states at the Fermi level (states/eV per cell) = 6.1
- magnetic moment (μB/atom) = 0.56
- calculated volume (Å³/f.u.) = 67
- formation energy from the elements (eV/atom) = -0.0068

***

[14]
NpUGaOs: optimized geometry, PBE.

Cell lengths 4.725, 4.725, 4.725 Å; angles 60.00, 60.00, 60.00 degrees
Fractional positions:
Np  0.000  0.000  0.000
Os  0.500  0.500  0.500
U  0.750  0.750  0.750
Ga  0.250  0.250  0.250

Properties
- density of states at the Fermi level (states/eV per cell) = 6.4
- magnetic moment (μB/atom) = 1.51
- calculated volume (Å³/f.u.) = 75
- formation energy from the elements (eV/atom) = -0.0201

***

[15]
NpVGaOs: optimized geometry, PBE.

Cell lengths 4.560, 4.560, 4.560 Å; angles 60.00, 60.00, 60.00 degrees
Fractional positions:
Np  0.500  0.500  0.500
Os  0.000  0.000  0.000
Ga  0.250  0.250  0.250
V  0.750  0.750  0.750

Properties
- density of states at the Fermi level (states/eV per cell) = 8.7
- magnetic moment (μB/atom) = 1.09
- calculated volume (Å³/f.u.) = 67
- formation energy from the elements (eV/atom) = 0.2652

***

[16]
NpZnGaOs: optimized geometry, PBE.

Cell lengths 4.639, 4.639, 4.639 Å; angles 60.00, 60.00, 60.00 degrees
Fractional positions:
Np  0.750  0.750  0.750
Zn  0.500  0.500  0.500
Os  0.000  0.000  0.000
Ga  0.250  0.250  0.250

Properties
- density of states at the Fermi level (states/eV per cell) = 8.4
- magnetic moment (μB/atom) = 0.78
- calculated volume (Å³/f.u.) = 71
- formation energy from the elements (eV/atom) = 0.2064

***

[17]
NpGa2P: optimized geometry, PBE.

Cell lengths 4.556, 3.981, 3.981 Å; angles 90.00, 90.00, 90.00 degrees
Fractional positions:
Np  0.500  0.000  0.000
P  0.500  0.500  0.500
Ga  0.000  0.000  0.500
Ga  0.000  0.500  0.000

Properties
- density of states at the Fermi level (states/eV per cell) = 6.6
- magnetic moment (μB/atom) = 0.86
- calculated volume (Å³/f.u.) = 72
- formation energy from the elements (eV/atom) = -0.3827

***

[18]
NpGaP: optimized geometry, PBE.

Cell lengths 3.591, 4.272, 4.272 Å; angles 120.00, 90.00, 90.00 degrees
Fractional positions:
Np  0.667  0.667  0.333
P  0.167  0.000  0.000
Ga  0.166  0.333  0.667

Properties
- density of states at the Fermi level (states/eV per cell) = 5.3
- magnetic moment (μB/atom) = 1.39
- energy relative to the lowest polymorph listed for this composition (meV per atom) = 6
- calculated volume (Å³/f.u.) = 57
- formation energy from the elements (eV/atom) = -0.2986

***

[19]
NpGaP2: optimized geometry, PBE.

Cell lengths 3.626, 4.306, 4.306 Å; angles 90.00, 90.00, 90.00 degrees
Fractional positions:
Np  0.500  0.000  0.000
P  0.000  0.000  0.500
P  0.000  0.500  0.000
Ga  0.500  0.500  0.500

Properties
- density of states at the Fermi level (states/eV per cell) = 6.7
- magnetic moment (μB/atom) = 0.66
- energy relative to the lowest polymorph listed for this composition (meV per atom) = 0
- calculated volume (Å³/f.u.) = 67
- formation energy from the elements (eV/atom) = -0.4737

***

[20]
Np2GaP: optimized geometry, PBE.

Cell lengths 3.707, 3.707, 8.131 Å; angles 76.82, 76.82, 60.00 degrees
Fractional positions:
Np  0.741  0.741  0.777
Np  0.259  0.259  0.223
P  0.000  0.000  0.000
Ga  0.500  0.500  0.500

Properties
- density of states at the Fermi level (states/eV per cell) = 9.7
- magnetic moment (μB/atom) = 2.00
- calculated volume (Å³/f.u.) = 93
- formation energy from the elements (eV/atom) = -0.1848

***

[21]
NpGaP2: optimized geometry, PBE.

Cell lengths 4.272, 4.272, 7.481 Å; angles 73.41, 73.41, 60.00 degrees
Fractional positions:
Np  0.500  0.500  0.500
P  0.104  0.104  0.687
P  0.896  0.896  0.313
Ga  0.000  0.000  0.000

Properties
- density of states at the Fermi level (states/eV per cell) = 9.7
- magnetic moment (μB/atom) = 1.00
- energy relative to the lowest polymorph listed for this composition (meV per atom) = 398
- calculated volume (Å³/f.u.) = 112
- formation energy from the elements (eV/atom) = -0.0759

***

[22]
NpGaP: optimized geometry, PBE.

Cell lengths 5.145, 3.650, 6.044 Å; angles 90.00, 115.19, 90.00 degrees
Fractional positions:
Ga  0.412  0.750  0.824
Ga  0.588  0.250  0.176
P  0.728  0.750  0.455
P  0.272  0.250  0.545
Np  0.924  0.250  0.848
Np  0.076  0.750  0.152

Properties
- density of states at the Fermi level (states/eV per cell) = 6.0
- magnetic moment (μB/atom) = 0.23
- energy relative to the lowest polymorph listed for this composition (meV per atom) = 0
- calculated volume (Å³/f.u.) = 51
- formation energy from the elements (eV/atom) = -0.3048

***

[23]
Np2GaPPt6: optimized geometry, PBE.

Cell lengths 5.588, 7.019, 6.613 Å; angles 73.04, 51.94, 92.33 degrees
Fractional positions:
Np  0.289  0.706  0.453
Np  0.711  0.294  0.547
Ga  0.500  0.500  0.000
P  0.000  0.000  0.000
Pt  0.131  0.689  0.984
Pt  0.755  0.882  0.845
Pt  0.249  0.260  0.507
Pt  0.869  0.311  0.016
Pt  0.245  0.118  0.155
Pt  0.751  0.740  0.493

Properties
- density of states at the Fermi level (states/eV per cell) = 21.2
- magnetic moment (μB/atom) = 0.72
- calculated volume (Å³/f.u.) = 187
- formation energy from the elements (eV/atom) = -0.4898

***

[24]
NpPa4Ga2: optimized geometry, PBE.

Cell lengths 6.020, 6.020, 6.020 Å; angles 101.32, 113.70, 113.70 degrees
Fractional positions:
Np  0.000  0.000  0.000
Pa  0.500  0.000  0.000
Pa  0.500  0.500  0.500
Pa  0.000  0.000  0.500
Pa  0.000  0.500  0.000
Ga  0.500  0.500  0.000
Ga  0.500  0.000  0.500

Properties
- density of states at the Fermi level (states/eV per cell) = 13.3
- magnetic moment (μB/atom) = 0.45
- calculated volume (Å³/f.u.) = 165
- formation energy from the elements (eV/atom) = 0.0343

***

[25]
NpPaGa5: optimized geometry, PBE.

Cell lengths 4.797, 4.797, 6.676 Å; angles 90.00, 90.00, 90.00 degrees
Fractional positions:
Np  0.500  0.500  0.000
Pa  0.000  0.000  0.500
Ga  0.000  0.500  0.763
Ga  0.000  0.500  0.237
Ga  0.500  0.000  0.763
Ga  0.500  0.000  0.237
Ga  0.500  0.500  0.500

Properties
- density of states at the Fermi level (states/eV per cell) = 12.2
- magnetic moment (μB/atom) = 0.42
- calculated volume (Å³/f.u.) = 154
- formation energy from the elements (eV/atom) = 0.0828

***

[26]
NpPa3Ga12: optimized geometry, PBE.

Cell lengths 4.293, 4.293, 17.163 Å; angles 90.00, 90.00, 90.00 degrees
Fractional positions:
Np  0.000  0.000  0.000
Pa  0.000  0.000  0.249
Pa  0.000  0.000  0.500
Pa  0.000  0.000  0.751
Ga  0.500  0.500  0.000
Ga  0.500  0.500  0.249
Ga  0.500  0.500  0.500
Ga  0.500  0.500  0.751
Ga  0.500  0.000  0.123
Ga  0.500  0.000  0.375
Ga  0.500  0.000  0.625
Ga  0.500  0.000  0.877
Ga  0.000  0.500  0.123
Ga  0.000  0.500  0.375
Ga  0.000  0.500  0.625
Ga  0.000  0.500  0.877

Properties
- density of states at the Fermi level (states/eV per cell) = 23.7
- magnetic moment (μB/atom) = 0.32
- calculated volume (Å³/f.u.) = 316
- formation energy from the elements (eV/atom) = -0.3319

***

[27]
NpPa2Ga: optimized geometry, PBE.

Cell lengths 4.141, 4.616, 4.616 Å; angles 90.00, 90.00, 90.00 degrees
Fractional positions:
Np  0.500  0.500  0.500
Pa  0.000  0.000  0.500
Pa  0.000  0.500  0.000
Ga  0.500  0.000  0.000

Properties
- density of states at the Fermi level (states/eV per cell) = 10.1
- magnetic moment (μB/atom) = 0.99
- energy relative to the lowest polymorph listed for this composition (meV per atom) = 0
- calculated volume (Å³/f.u.) = 88
- formation energy from the elements (eV/atom) = -0.0369

***

[28]
NpPa2Ga: optimized geometry, PBE.

Cell lengths 4.990, 4.990, 4.990 Å; angles 60.00, 60.00, 60.00 degrees
Fractional positions:
Np  0.000  0.000  0.000
Pa  0.250  0.250  0.250
Pa  0.750  0.750  0.750
Ga  0.500  0.500  0.500

Properties
- density of states at the Fermi level (states/eV per cell) = 7.2
- magnetic moment (μB/atom) = 1.31
- energy relative to the lowest polymorph listed for this composition (meV per atom) = 70
- calculated volume (Å³/f.u.) = 88
- formation energy from the elements (eV/atom) = 0.0331